Below is Hf2Zr2Ni after structural relaxation, with properties calculated at the GGA-PBE level. Values from VASP.

Quantum ESPRESSO input file:
```
&SYSTEM
  ibrav = 0, nat = 10, ntyp = 3
/
ATOMIC_SPECIES
Zr 91.22 Zr.upf
Ni 58.69 Ni.upf
Hf 178.49 Hf.upf
CELL_PARAMETERS angstrom
-5.709 2.747 -2.275
1.852 -1.385 -6.321
-2.148 -4.220 0.295
ATOMIC_POSITIONS crystal
Zr 0.653 0.153 0.000
Zr 0.347 0.847 0.000
Zr 0.153 0.347 0.000
Zr 0.847 0.653 0.000
Ni 0.500 0.500 0.000
Ni 0.000 0.000 0.000
Hf 0.154 0.654 0.500
Hf 0.346 0.154 0.500
Hf 0.654 0.846 0.500
Hf 0.846 0.346 0.500
```

Values from the calculation:
Raw total energy ... -8.400 eV/atom
Formation energy ... 0.157 eV/atom
Magnetic moment ... 0.00 μB/f.u.
Fermi-level density of states ... 8.898 states/eV/cell
Energy above the lowest structure with this stoichiometry ... 82 meV/atom
Space-group type ... P4/mbm, No. 127